## TcSbS2Cl (PBE)

Data for a geometry-optimized TcSbS2Cl structure.

Cell: 4.6527 4.6527 4.8096 Å, 90.00 90.00 90.00°
Last column: nearest neighbours and their distance in Å.
Space group P4/mmm (No. 123)
Unique sites:
Tc: 0.0000 0.0000 0.0000 [1 per cell]  4 S 2.33, 2 Cl 2.40
Sb: 0.5000 0.5000 0.5000 [1 per cell]  4 Cl 3.29, 8 S 3.35
S: 0.0000 0.5000 0.0000 [2 per cell]  2 Tc 2.33
Cl: 0.0000 0.0000 0.5000 [1 per cell]  2 Tc 2.40

Properties
- Mass density: 5.1 g cm⁻³
- Fermi-level density of states: 6.52 states/eV/cell
- Uncorrected energy: -23.6 eV/cell